# LuHf2Th GGA-PBE relaxed
# * ΔH_f (0 K): 0.184 eV/atom
data_LuHf2Th
_chemical_formula_sum 'Lu1 Hf2 Th1'
_symmetry_space_group_name_H-M 'P 4/m m m'
_symmetry_Int_Tables_number 123
_symmetry_space_group_name_Hall '-P 4 2'
_cell_length_a 3.9085
_cell_length_b 3.9085
_cell_length_c 6.8712
_cell_angle_alpha 90.00
_cell_angle_beta 90.00
_cell_angle_gamma 90.00
loop_
_atom_site_label
_atom_site_type_symbol
_atom_site_fract_x
_atom_site_fract_y
_atom_site_fract_z
_atom_site_occupancy
Lu1 Lu 0.0000 0.0000 0.0000 1
Hf1 Hf 0.5000 0.5000 0.2725 1
Th1 Th 0.0000 0.0000 0.5000 1

Computed, not measured: Ba8Pt3SI4 after structural relaxation at the GGA-PBE level of DFT.

The structure in CIF format:
```
data_Ba8Pt3SI4
_chemical_formula_sum 'Ba24 Pt9 S3 I12'
_symmetry_space_group_name_H-M 'R -3 m'
_symmetry_Int_Tables_number 166
_symmetry_space_group_name_Hall '-R 3 2"'
_cell_length_a 9.3276
_cell_length_b 9.3276
_cell_length_c 25.7932
_cell_angle_alpha 90.00
_cell_angle_beta 90.00
_cell_angle_gamma 120.00
loop_
_atom_site_label
_atom_site_type_symbol
_atom_site_fract_x
_atom_site_fract_y
_atom_site_fract_z
_atom_site_occupancy
Ba1 Ba 0.0000 0.0000 0.2350 1
Ba2 Ba 0.0034 0.5017 0.7675 1
Pt1 Pt 0.0000 0.5000 0.5000 1
S1 S 0.0000 0.0000 0.5000 1
I1 I 0.0000 0.0000 0.0000 1
I2 I 0.0000 0.5000 0.0000 1
```

# MnFe2Rh GGA-PBE relaxed
# * ΔH_f (0 K): 0.438 eV/atom
data_MnFe2Rh
_chemical_formula_sum 'Mn4 Fe8 Rh4'
_symmetry_space_group_name_H-M 'F m -3 m'
_symmetry_Int_Tables_number 225
_symmetry_space_group_name_Hall '-F 4 2 3'
_cell_length_a 5.7172
_cell_length_b 5.7172
_cell_length_c 5.7172
_cell_angle_alpha 90.00
_cell_angle_beta 90.00
_cell_angle_gamma 90.00
loop_
_atom_site_label
_atom_site_type_symbol
_atom_site_fract_x
_atom_site_fract_y
_atom_site_fract_z
_atom_site_occupancy
Mn1 Mn 0.0000 0.0000 0.0000 1
Fe1 Fe 0.2500 0.2500 0.2500 1
Rh1 Rh 0.0000 0.0000 0.5000 1

# NiP GGA-PBE relaxed
# * ΔH_f (0 K): -0.217 eV/atom
data_NiP
_chemical_formula_sum 'Ni6 P6'
_symmetry_space_group_name_H-M 'P m m n'
_symmetry_Int_Tables_number 59
_cell_length_a 4.1629
_cell_length_b 10.9505
_cell_length_c 3.9249
_cell_angle_alpha 90.00
_cell_angle_beta 90.00
_cell_angle_gamma 90.00
loop_
_symmetry_equiv_pos_as_xyz
'x,y,z'
'-x,-y,-z'
'-x+1/2,-y+1/2,z'
'x+1/2,y+1/2,-z'
'x+1/2,-y,-z'
'-x+1/2,y,z'
'-x,y+1/2,-z'
'x,-y+1/2,z'
loop_
_atom_site_label
_atom_site_type_symbol
_atom_site_fract_x
_atom_site_fract_y
_atom_site_fract_z
_atom_site_occupancy
Ni1 Ni 0.2500 0.0703 0.0095 1
Ni2 Ni 0.2500 0.7500 0.5699 1
P1 P 0.2500 0.2500 0.2525 1
P2 P 0.2500 0.6310 0.0963 1

Computed, not measured: SrNiTe2 after structural relaxation at the GGA-PBE level of DFT.

The structure in CIF format:
```
data_SrNiTe2
_chemical_formula_sum 'Sr1 Ni1 Te2'
_symmetry_space_group_name_H-M 'P 1 2/m 1'
_symmetry_Int_Tables_number 10
_cell_length_a 4.5556
_cell_length_b 3.9251
_cell_length_c 6.7484
_cell_angle_alpha 90.00
_cell_angle_beta 97.44
_cell_angle_gamma 90.00
loop_
_symmetry_equiv_pos_as_xyz
'x,y,z'
'-x,-y,-z'
'-x,y,-z'
'x,-y,z'
loop_
_atom_site_label
_atom_site_type_symbol
_atom_site_fract_x
_atom_site_fract_y
_atom_site_fract_z
_atom_site_occupancy
Sr1 Sr 0.0000 0.0000 0.0000 1
Ni1 Ni 0.5000 0.0000 0.5000 1
Te1 Te 0.4647 0.5000 0.7345 1
```

Computed, not measured: Rb2Cu2PdBr6 after structural relaxation at the GGA-PBE level of DFT.

The structure in CIF format:
```
data_Rb2Cu2PdBr6
_chemical_formula_sum 'Rb4 Cu4 Pd2 Br12'
_symmetry_space_group_name_H-M 'C 1 2/m 1'
_symmetry_Int_Tables_number 12
_cell_length_a 14.8319
_cell_length_b 7.2599
_cell_length_c 6.5491
_cell_angle_alpha 90.00
_cell_angle_beta 101.51
_cell_angle_gamma 90.00
loop_
_symmetry_equiv_pos_as_xyz
'x,y,z'
'-x,-y,-z'
'-x,y,-z'
'x,-y,z'
'x+1/2,y+1/2,z'
'-x+1/2,-y+1/2,-z'
'-x+1/2,y+1/2,-z'
'x+1/2,-y+1/2,z'
loop_
_atom_site_label
_atom_site_type_symbol
_atom_site_fract_x
_atom_site_fract_y
_atom_site_fract_z
_atom_site_occupancy
Rb1 Rb 0.2043 0.0000 0.2149 1
Cu1 Cu 0.0300 0.5000 0.2179 1
Pd1 Pd 0.0000 0.0000 0.5000 1
Br1 Br 0.0672 0.2389 0.7593 1
Br2 Br 0.1905 0.5000 0.2525 1
```

# Tb2Y6HoSc3 GGA-PBE relaxed
# * ΔH_f (0 K): 0.052 eV/atom
data_Tb2Y6HoSc3
_chemical_formula_sum 'Tb4 Y12 Ho2 Sc6'
_symmetry_space_group_name_H-M 'C 1 2/m 1'
_symmetry_Int_Tables_number 12
_cell_length_a 6.0680
_cell_length_b 10.5031
_cell_length_c 11.5127
_cell_angle_alpha 90.00
_cell_angle_beta 100.10
_cell_angle_gamma 90.00
loop_
_symmetry_equiv_pos_as_xyz
'x,y,z'
'-x,-y,-z'
'-x,y,-z'
'x,-y,z'
'x+1/2,y+1/2,z'
'-x+1/2,-y+1/2,-z'
'-x+1/2,y+1/2,-z'
'x+1/2,-y+1/2,z'
loop_
_atom_site_label
_atom_site_type_symbol
_atom_site_fract_x
_atom_site_fract_y
_atom_site_fract_z
_atom_site_occupancy
Tb1 Tb 0.0000 0.1667 0.0000 1
Y1 Y 0.2471 0.1666 0.7410 1
Y2 Y 0.2468 0.5000 0.7409 1
Ho1 Ho 0.0000 0.5000 0.0000 1
Sc1 Sc 0.0000 0.0000 0.5000 1
Sc2 Sc 0.0000 0.3333 0.5000 1

# UZnCdIn GGA-PBE relaxed
# * ΔH_f (0 K): 0.223 eV/atom
data_UZnCdIn
_chemical_formula_sum 'U4 Zn4 Cd4 In4'
_symmetry_space_group_name_H-M 'F -4 3 m'
_symmetry_Int_Tables_number 216
_symmetry_space_group_name_Hall 'F -4 2 3'
_cell_length_a 7.1216
_cell_length_b 7.1216
_cell_length_c 7.1216
_cell_angle_alpha 90.00
_cell_angle_beta 90.00
_cell_angle_gamma 90.00
loop_
_atom_site_label
_atom_site_type_symbol
_atom_site_fract_x
_atom_site_fract_y
_atom_site_fract_z
_atom_site_occupancy
U1 U 0.0000 0.0000 0.0000 1
Zn1 Zn 0.2500 0.2500 0.2500 1
Cd1 Cd 0.2500 0.2500 0.7500 1
In1 In 0.0000 0.0000 0.5000 1

Computed, not measured: BeReSb3 after structural relaxation at the GGA-PBE level of DFT.

The structure in CIF format:
```
data_BeReSb3
_chemical_formula_sum 'Be1 Re1 Sb3'
_symmetry_space_group_name_H-M 'P m -3 m'
_symmetry_Int_Tables_number 221
_symmetry_space_group_name_Hall '-P 4 2 3'
_cell_length_a 4.7898
_cell_length_b 4.7898
_cell_length_c 4.7898
_cell_angle_alpha 90.00
_cell_angle_beta 90.00
_cell_angle_gamma 90.00
loop_
_atom_site_label
_atom_site_type_symbol
_atom_site_fract_x
_atom_site_fract_y
_atom_site_fract_z
_atom_site_occupancy
Be1 Be 0.0000 0.0000 0.0000 1
Re1 Re 0.5000 0.5000 0.5000 1
Sb1 Sb 0.0000 0.0000 0.5000 1
```

# PrTm2Hg2 GGA-PBE relaxed
# * ΔH_f (0 K): -0.215 eV/atom
data_PrTm2Hg2
_chemical_formula_sum 'Pr1 Tm2 Hg2'
_symmetry_space_group_name_H-M 'P -3 m 1'
_symmetry_Int_Tables_number 164
_symmetry_space_group_name_Hall '-P 3 2"'
_cell_length_a 5.1724
_cell_length_b 5.1724
_cell_length_c 6.4719
_cell_angle_alpha 90.00
_cell_angle_beta 90.00
_cell_angle_gamma 120.00
loop_
_atom_site_label
_atom_site_type_symbol
_atom_site_fract_x
_atom_site_fract_y
_atom_site_fract_z
_atom_site_occupancy
Pr1 Pr 0.0000 0.0000 0.0000 1
Tm1 Tm 0.3333 0.6667 0.6596 1
Hg1 Hg 0.3333 0.6667 0.1974 1

# K2Ag2Bi GGA-PBE relaxed
# * ΔH_f (0 K): 0.348 eV/atom
data_K2Ag2Bi
_chemical_formula_sum 'K4 Ag4 Bi2'
_symmetry_space_group_name_H-M 'I 4/m m m'
_symmetry_Int_Tables_number 139
_symmetry_space_group_name_Hall '-I 4 2'
_cell_length_a 4.7666
_cell_length_b 4.7666
_cell_length_c 14.3126
_cell_angle_alpha 90.00
_cell_angle_beta 90.00
_cell_angle_gamma 90.00
loop_
_atom_site_label
_atom_site_type_symbol
_atom_site_fract_x
_atom_site_fract_y
_atom_site_fract_z
_atom_site_occupancy
K1 K 0.0000 0.5000 0.2500 1
Ag1 Ag 0.0000 0.0000 0.0914 1
Bi1 Bi 0.0000 0.0000 0.5000 1

Computed, not measured: LaNd2In3Te6 after structural relaxation at the GGA-PBE level of DFT.

The structure in CIF format:
```
data_LaNd2In3Te6
_chemical_formula_sum 'La2 Nd4 In6 Te12'
_symmetry_space_group_name_H-M 'C 1 2/m 1'
_symmetry_Int_Tables_number 12
_cell_length_a 7.8954
_cell_length_b 13.6738
_cell_length_c 8.5255
_cell_angle_alpha 90.00
_cell_angle_beta 107.98
_cell_angle_gamma 90.00
loop_
_symmetry_equiv_pos_as_xyz
'x,y,z'
'-x,-y,-z'
'-x,y,-z'
'x,-y,z'
'x+1/2,y+1/2,z'
'-x+1/2,-y+1/2,-z'
'-x+1/2,y+1/2,-z'
'x+1/2,-y+1/2,z'
loop_
_atom_site_label
_atom_site_type_symbol
_atom_site_fract_x
_atom_site_fract_y
_atom_site_fract_z
_atom_site_occupancy
La1 La 0.0000 0.0000 0.0000 1
Nd1 Nd 0.0000 0.3332 0.0000 1
In1 In 0.0000 0.1661 0.5000 1
In2 In 0.0000 0.5000 0.5000 1
Te1 Te 0.2383 0.5000 0.2262 1
Te2 Te 0.2444 0.1685 0.2274 1
```

| no. | final energy (eV per atom) |
| --- | --- |
| 1 | -7.78 |
| 2 | -4.02 |
| 3 | -7.92 |
| 4 | -5.81 |
| 5 | -4.13 |
| 6 | -3.14 |
| 7 | -5.92 |
| 8 | -3.83 |
| 9 | -4.45 |
| 10 | -3.08 |
| 11 | -2.01 |
| 12 | -4.48 |